Entry 1:
Entry from the Alexandria database: a relaxed structure of BeTcRh2Se (PBE-GGA).

Its uncorrected formation energy is 0.965 eV per atom. The density is 7.09 g cm⁻³.

The space group is P4/mmm (No. 123) and the conventional cell measures 4.5005, 4.5005 and 4.5330 Å, with angles of 90.00, 90.00 and 90.00 degrees. The distinct sites, in fractional coordinates, are Be at (0.0000, 0.0000, 0.0000), Tc at (0.5000, 0.5000, 0.0000), Rh at (0.0000, 0.5000, 0.5000) and Se at (0.5000, 0.5000, 0.5000).

Entry 2:
Entry from the Alexandria database: a relaxed structure of Y2BeRhSe (PBE-GGA).

Its uncorrected formation energy is 0.004 eV per atom. The density is 4.76 g cm⁻³.

The space group is P4/mmm (No. 123) and the conventional cell measures 5.3133, 5.3133 and 4.5516 Å, with angles of 90.00, 90.00 and 90.00 degrees. The distinct sites, in fractional coordinates, are Y at (0.0000, 0.5000, 0.0000), Be at (0.0000, 0.0000, 0.5000), Rh at (0.5000, 0.5000, 0.5000) and Se at (0.5000, 0.5000, 0.0000).

Respective DOS at the Fermi energy values: 0.76 0.88 states/eV/atom.
Respective total energy values: -27.5 -27.5 eV per cell.